1.
Density functional theory data (PBE) for a geometry-optimized Pr2GeBPt6 structure.

Properties
- crystal system = orthorhombic
- energy relative to the elements (eV per atom) = -0.86

Cell lengths 5.7752, 8.7364, 7.4048 Å; angles 90.00, 90.00, 90.00 degrees
Closest atoms and distances in Å follow each position.
Space group Pmmn (No. 59, origin choice 2)
Asymmetric unit:
Pr (0.2500, 0.0317, 0.2187)  9 Pt 3.04-3.26
Ge (0.2500, 0.7500, 0.8097)  6 Pt 2.50-2.69
B (0.2500, 0.2500, 0.7024)  6 Pt 2.12-2.19
Pt (0.0045, 0.2500, 0.9170)  1 B 2.13
Pt (0.0105, 0.7500, 0.4985)  1 B 2.12
Pt (0.2500, 0.0038, 0.6489)  1 B 2.19


2.
Density functional theory data (PBE) for a geometry-optimized CeMg2Sn structure.

Properties
- crystal system = tetragonal
- energy relative to the elements (eV per atom) = -0.34
- offset from the most stable computed form (eV/atom) = 0.000

Cell lengths 4.5755, 4.5755, 4.8731 Å; angles 90.00, 90.00, 90.00 degrees
Closest atoms and distances in Å follow each position.
Space group P4/mmm (No. 123)
Asymmetric unit:
Ce (0.0000, 0.0000, 0.0000)  4 Sn 3.24, 8 Mg 3.34
Mg (0.0000, 0.5000, 0.5000)  4 Mg 3.24, 4 Sn 3.34, 4 Ce 3.34
Sn (0.5000, 0.5000, 0.0000)  4 Ce 3.24, 8 Mg 3.34


3.
Density functional theory data (PBE) for a geometry-optimized Mn4CdCl structure.

Properties
- crystal system = cubic
- E_form (uncorrected) (eV per atom) = 0.640

Cell lengths 7.7093, 7.7093, 7.7093 Å; angles 90.00, 90.00, 90.00 degrees
Closest atoms and distances in Å follow each position.
Space group F-43m (No. 216)
Asymmetric unit:
Mn (0.1233, 0.1233, 0.1233)  6 Mn 2.69-2.76
Cd (0.2500, 0.2500, 0.7500)  12 Mn 3.19, 4 Cl 3.34
Cl (0.0000, 0.0000, 0.5000)  12 Mn 3.20, 4 Cd 3.34


4.
Density functional theory data (PBE) for a geometry-optimized NaGe2F11 structure.

Properties
- crystal system = orthorhombic
- E_form (uncorrected) (eV per atom) = -2.037

Cell lengths 10.4076, 9.9024, 8.8429 Å; angles 90.00, 90.00, 90.00 degrees
Closest atoms and distances in Å follow each position.
Space group Ima2 (No. 46)
Asymmetric unit:
Na (0.0000, 0.0000, 0.0000)  8 F 2.44-2.58
Ge (0.2500, 0.2339, 0.7058)  5 F 1.73-1.80
Ge (0.2500, 0.7468, 0.7554)  6 F 1.80-1.89
F (0.1278, 0.6574, 0.6519)  1 Ge 1.80
F (0.1278, 0.6624, 0.3576)  1 Ge 1.80
F (0.1324, 0.1382, 0.8073)  1 Ge 1.79
F (0.1326, 0.1342, 0.1888)  1 Ge 1.80
F (0.2500, 0.1674, 0.5245)  1 Ge 1.73
F (0.2500, 0.6006, 0.8910)  1 Ge 1.88, 1 F 2.03
F (0.2500, 0.6060, 0.1200)  1 Ge 1.89, 1 F 2.03


5.
Density functional theory data (PBE) for a geometry-optimized TaNb5W4 structure.

Properties
- crystal system = tetragonal
- energy relative to the elements (eV per atom) = -0.04

Cell lengths 3.2491, 3.2491, 16.3598 Å; angles 90.00, 90.00, 90.00 degrees
Closest atoms and distances in Å follow each position.
Space group P4/mmm (No. 123)
Asymmetric unit:
Ta (0.0000, 0.0000, 0.0000)  8 Nb 2.87
Nb (0.5000, 0.5000, 0.1049)  4 W 2.79, 4 Ta 2.87
Nb (0.5000, 0.5000, 0.3021)  8 W 2.81-2.82
Nb (0.5000, 0.5000, 0.5000)  8 W 2.81
W (0.0000, 0.0000, 0.2018)  8 Nb 2.79-2.82
W (0.0000, 0.0000, 0.4009)  8 Nb 2.81


6.
Density functional theory data (PBE) for a geometry-optimized Li3Ac2Mg12Zn structure.

Properties
- crystal system = trigonal
- energy relative to the elements (eV per atom) = 0.12

Cell lengths 6.5406, 6.5406, 39.9863 Å; angles 90.00, 90.00, 120.00 degrees
Closest atoms and distances in Å follow each position.
Space group R-3m (No. 166, hexagonal axes)
Asymmetric unit:
Li (0.0000, 0.5000, 0.0000)  4 Mg 2.96, 4 Li 3.27
Ac (0.0000, 0.0000, 0.1435)  9 Mg 3.49-3.63, 3 Zn 3.89
Mg (0.0076, 0.5038, 0.1131)  1 Zn 2.83, 2 Mg 3.02
Mg (0.0199, 0.5099, 0.6108)  2 Li 2.96, 4 Mg 3.02-3.08
Zn (0.0000, 0.0000, 0.5000)  6 Mg 2.83


7.
Density functional theory data (PBE) for a geometry-optimized La2TbAl2 structure.

Properties
- crystal system = orthorhombic
- energy relative to the elements (eV per atom) = -0.30
- offset from the most stable computed form (eV/atom) = 0.000

Cell lengths 5.0507, 6.9650, 8.0772 Å; angles 90.00, 90.00, 90.00 degrees
Closest atoms and distances in Å follow each position.
Space group Immm (No. 71)
Asymmetric unit:
La (0.0000, 0.0000, 0.1953)  1 La 3.16, 6 Al 3.24-3.28, 2 Tb 3.53
Tb (0.0000, 0.5000, 0.0000)  4 Al 3.29, 4 La 3.53
Al (0.0000, 0.3027, 0.5000)  1 Al 2.75


8.
Density functional theory data (PBE) for a geometry-optimized Cu2AuF6 structure.

Properties
- crystal system = monoclinic
- E_form (uncorrected) (eV per atom) = -1.251

Cell lengths 9.5652, 14.6744, 3.9581 Å; angles 90.00, 91.47, 90.00 degrees
Closest atoms and distances in Å follow each position.
Space group C2/c (No. 15)
Asymmetric unit:
Cu (0.1612, 0.0810, 0.4876)  5 F 1.94-2.08
Au (0.0000, 0.3085, 0.2500)  4 F 2.01-2.03
F (0.1160, 0.2101, 0.4858)  1 Cu 1.94, 1 Au 2.03
F (0.1241, 0.4026, 0.4739)  1 Au 2.01, 1 Cu 2.07
F (0.1392, 0.0597, 0.9870)  3 Cu 2.01-2.08


Copy entry 8 word for word.
Density functional theory data (PBE) for a geometry-optimized Cu2AuF6 structure.

Properties
- crystal system = monoclinic
- E_form (uncorrected) (eV per atom) = -1.251

Cell lengths 9.5652, 14.6744, 3.9581 Å; angles 90.00, 91.47, 90.00 degrees
Closest atoms and distances in Å follow each position.
Space group C2/c (No. 15)
Asymmetric unit:
Cu (0.1612, 0.0810, 0.4876)  5 F 1.94-2.08
Au (0.0000, 0.3085, 0.2500)  4 F 2.01-2.03
F (0.1160, 0.2101, 0.4858)  1 Cu 1.94, 1 Au 2.03
F (0.1241, 0.4026, 0.4739)  1 Au 2.01, 1 Cu 2.07
F (0.1392, 0.0597, 0.9870)  3 Cu 2.01-2.08